MnPdBrO2 after structural relaxation. Source: Alexandria via LeMat-Bulk, functional PBE+U.

The volume is 17.98 Å³/atom. The value obtained for the total energy is -26.28 eV for the cell shown.

abc: 3.7057 3.7057 6.5470
angles: 90.00 90.00 90.00
With the nearest neighbours (Å) after each atom.
Space group P4/mmm (No. 123)
Symmetry-distinct sites (fractional):
Mn 0.0000 0.0000 0.0000 (multiplicity 1)  4 O 1.85
Pd 0.5000 0.5000 0.5000 (multiplicity 1)  4 Br 2.62
Br 0.0000 0.0000 0.5000 (multiplicity 1)  4 Pd 2.62
O 0.0000 0.5000 0.0000 (multiplicity 2)  2 Mn 1.85